A relaxed structure of MgZn4Fe. Source: the Alexandria database, functional PBE.

The structure in POSCAR format:
```
MgZn4Fe
1.0
3.6751 -3.1270 -1.3845
1.1625 -3.9406 2.8847
-1.1062 -4.6492 -1.5371
Zn Fe Mg
4 1 1
direct
0.8726 0.3758 0.3758
0.3758 0.8726 0.3758
0.3758 0.3758 0.8726
0.3758 0.3758 0.3758
0.7500 0.7500 0.7500
0.0000 0.0000 0.0000
```

Values from the calculation:
ΔE_f (meV per atom): 81
Size of the total moment (μB/f.u.): 2.26

***

A relaxed structure of MgZnFe. Source: the Alexandria database, functional PBE.

The structure in POSCAR format:
```
MgZnFe
1.0
4.2349 0.0000 0.0000
2.1174 3.6675 0.0000
2.1174 1.2225 3.4578
Mg Fe Zn
1 1 1
direct
0.5000 0.5000 0.5000
0.0000 0.0000 0.0000
0.2500 0.2500 0.2500
```

Values from the calculation:
ΔE_f (meV per atom): 477
Size of the total moment (μB/f.u.): 2.58